# PBE with a Hubbard U CsYVO4, optimized geometry
data_CsYVO4
_cell_length_a 5.9725
_cell_length_b 6.0190
_cell_length_c 8.0773
_cell_angle_alpha 90.00
_cell_angle_beta 108.42
_cell_angle_gamma 90.00
_symmetry_space_group_name_H-M 'P 1 21/m 1'
_symmetry_Int_Tables_number 11
_symmetry_space_group_name_Hall '-P 2yb'
loop_
_atom_site_label
_atom_site_fract_x
_atom_site_fract_y
_atom_site_fract_z
_atom_site_occupancy
Cs1 0.2181 0.2500 0.4412 1
Y1 0.3204 0.2500 0.9627 1
V1 0.2162 0.7500 0.1411 1
O1 0.0142 0.7500 0.9316 1
O2 0.0389 0.7500 0.2824 1
O3 0.4490 0.5280 0.1567 1
# DFT total energy ... -7.38 eV/atom
# Magnetization ... 1.00 μB/f.u.